8
Lattice="4.0279 0.0000 0.0000 0.0000 6.9609 0.1196 0.0000 -2.4331 6.4768" Properties=species:S:1:pos:R:3 comment="LiLa2HoS4 | Alexandria | PBE-GGA | relaxed" final_energy_ev_per_cell=-48.6 dos_ef_per_ev_cell=3.04 pbc="T T T"
S 2.0139 1.1511 1.5057
S 2.0139 3.3768 5.0907
S 0.0000 -0.0910 5.0182
S 0.0000 4.6188 1.5783
Ho 0.0000 0.0000 0.0000
La 2.0139 -1.2166 3.2384
La 0.0000 2.2639 3.2982
Li 2.0139 3.4805 0.0598

---

6
Lattice="6.3384 0.0044 0.0110 4.9012 4.0191 0.0110 2.9315 1.0494 7.7455" Properties=species:S:1:pos:R:3 comment="TlCl | Alexandria | PBE-GGA | relaxed" final_energy_ev_per_cell=-18.5 dos_ef_per_ev_cell=0.00 pbc="T T T"
Tl 5.0314 1.8012 7.4698
Tl 4.6877 1.6781 2.3319
Tl 2.1043 0.7533 4.6812
Cl 10.4658 3.7465 0.0813
Cl 7.4927 2.6822 2.3559
Cl 10.3694 3.7120 5.0880

---

no.,E_form (uncorrected) (eV per atom),total magnetization (μB per cell)
1,-1.96,0.0
2,-0.98,0.0